Record 1
First-principles (PBE+U) data for crystalline CuSnMoO6 at its relaxed geometry, as listed in the Alexandria database.

The structure belongs to space group P4_2nm (No. 102); the cell edges are 4.7678, 4.7678 and 9.3159 Å and the angles 90.00°, 90.00° and 90.00°. The inequivalent atoms are Cu at (0.0000, 0.0000, 0.0000), Sn at (0.0000, 0.0000, 0.3280), Mo at (0.0000, 0.0000, 0.6653), O at (0.1901, 0.1901, 0.5064), O at (0.1924, 0.1924, 0.8193) and O at (0.2073, 0.2073, 0.1645).

As for the total energy: -112.31 eV/cell.

=====

Record 2
First-principles (PBE+U) data for crystalline Sr3Cu2MoO8 at its relaxed geometry, as listed in the Alexandria database.

The structure belongs to space group P-3m1 (No. 164); the cell edges are 5.5993, 5.5993 and 7.3829 Å and the angles 90.00°, 90.00° and 120.00°. The inequivalent atoms are Sr at (0.0000, 0.0000, 0.0000), Sr at (0.3333, 0.6667, 0.6351), Cu at (0.3333, 0.6667, 0.1897), Mo at (0.0000, 0.0000, 0.5000), O at (0.1620, 0.3241, 0.3451) and O at (0.3333, 0.6667, 0.9484).

As for the total energy: -84.55 eV/cell.

=====

Record 3
First-principles (PBE+U) data for crystalline Sr3Cu2MoO6 at its relaxed geometry, as listed in the Alexandria database.

The structure belongs to space group P-3m1 (No. 164); the cell edges are 5.6619, 5.6619 and 6.6129 Å and the angles 90.00°, 90.00° and 120.00°. The inequivalent atoms are Sr at (0.0000, 0.0000, 0.0000), Sr at (0.3333, 0.6667, 0.6394), Cu at (0.3333, 0.6667, 0.1417), Mo at (0.0000, 0.0000, 0.5000) and O at (0.1616, 0.3232, 0.3266).

As for the total energy: -70.80 eV/cell.

=====

Record 4
First-principles (PBE+U) data for crystalline SrCuMoO5 at its relaxed geometry, as listed in the Alexandria database.

The structure belongs to space group C2/c (No. 15); the cell edges are 6.4740, 9.5346 and 7.5153 Å and the angles 90.00°, 110.36° and 90.00°. The inequivalent atoms are Sr at (0.0000, 0.1738, 0.2500), Cu at (0.0000, 0.1776, 0.7500), Mo at (0.0000, 0.5000, 0.0000), O at (0.0000, 0.4412, 0.2500), O at (0.0737, 0.3072, 0.5853) and O at (0.1909, 0.0423, 0.9253).

As for the total energy: -205.00 eV/cell.